{
  "formula": "Ba2ErPd2O6",
  "functional": "PBE-GGA",
  "state": "relaxed",
  "dos_ef_per_ev_cell": 6.4,
  "formation_energy_uncorrected_ev_per_atom": -1.71,
  "lattice": [[3.094, 1.786, 5.901], [-3.094, 1.786, 5.901], [0.000, -3.573, 5.901]],
  "species": ["Ba", "Ba", "Er", "Pd", "Pd", "O", "O", "O", "O", "O", "O"],
  "fractional_positions": [[0.214, 0.214, 0.214], [0.786, 0.786, 0.786], [0.000, 0.000, 0.000], [0.415, 0.415, 0.415], [0.585, 0.585, 0.585], [0.213, 0.762, 0.762], [0.238, 0.238, 0.787], [0.238, 0.787, 0.238], [0.762, 0.213, 0.762], [0.762, 0.762, 0.213], [0.787, 0.238, 0.238]]
}